# CsLiTl2Pb, optimized geometry, DFT PBE
# * energy above the lowest structure with this stoichiometry: 0.0 meV/atom
data_CsLiTl2Pb
_cell_length_a 5.617
_cell_length_b 5.617
_cell_length_c 5.482
_cell_angle_alpha 90.00
_cell_angle_beta 90.00
_cell_angle_gamma 90.00
_space_group_name_H-M_alt 'P 4/m m m'
_space_group_IT_number 123
_space_group_name_Hall '-P 4 2'
loop_
_atom_site_label
_atom_site_type_symbol
_atom_site_fract_x
_atom_site_fract_y
_atom_site_fract_z
Cs1 Cs 0.000 0.000 0.000
Li1 Li 0.500 0.500 0.500
Tl1 Tl 0.000 0.500 0.500
Pb1 Pb 0.500 0.500 0.000

***

# LaV3Br, optimized geometry, DFT PBE
# * energy above the lowest structure with this stoichiometry: 0.0 meV/atom
# * raw formation energy: 793 meV per atom
data_LaV3Br
_cell_length_a 4.730
_cell_length_b 4.730
_cell_length_c 4.730
_cell_angle_alpha 90.00
_cell_angle_beta 90.00
_cell_angle_gamma 90.00
_space_group_name_H-M_alt 'P m -3 m'
_space_group_IT_number 221
_space_group_name_Hall '-P 4 2 3'
loop_
_atom_site_label
_atom_site_type_symbol
_atom_site_fract_x
_atom_site_fract_y
_atom_site_fract_z
La1 La 0.000 0.000 0.000
V1 V 0.000 0.500 0.500
Br1 Br 0.500 0.500 0.500

***

# Tb2AuO2, optimized geometry, DFT PBE
# * raw formation energy: -2628 meV per atom
data_Tb2AuO2
_cell_length_a 3.905
_cell_length_b 3.905
_cell_length_c 12.065
_cell_angle_alpha 90.00
_cell_angle_beta 90.00
_cell_angle_gamma 90.00
_space_group_name_H-M_alt 'I 4/m m m'
_space_group_IT_number 139
_space_group_name_Hall '-I 4 2'
loop_
_atom_site_label
_atom_site_type_symbol
_atom_site_fract_x
_atom_site_fract_y
_atom_site_fract_z
Tb1 Tb 0.000 0.000 0.157
Au1 Au 0.000 0.000 0.500
O1 O 0.000 0.500 0.250

***

# Ac2ZnAgO6, optimized geometry, DFT PBE
# * raw formation energy: -1882 meV per atom
data_Ac2ZnAgO6
_cell_length_a 8.146
_cell_length_b 8.146
_cell_length_c 8.146
_cell_angle_alpha 90.00
_cell_angle_beta 90.00
_cell_angle_gamma 90.00
_space_group_name_H-M_alt 'F m -3 m'
_space_group_IT_number 225
_space_group_name_Hall '-F 4 2 3'
loop_
_atom_site_label
_atom_site_type_symbol
_atom_site_fract_x
_atom_site_fract_y
_atom_site_fract_z
Ac1 Ac 0.250 0.250 0.250
Zn1 Zn 0.000 0.000 0.000
Ag1 Ag 0.000 0.000 0.500
O1 O 0.000 0.000 0.246

***

# Na6Ni3Cl14, optimized geometry, DFT PBE
# * raw formation energy: -1129 meV per atom
data_Na6Ni3Cl14
_cell_length_a 9.9945
_cell_length_b 9.9945
_cell_length_c 6.4058
_cell_angle_alpha 90.00
_cell_angle_beta 90.00
_cell_angle_gamma 120.00
_space_group_name_H-M_alt 'P 3'
_space_group_IT_number 143
_space_group_name_Hall 'P 3'
loop_
_atom_site_label
_atom_site_type_symbol
_atom_site_fract_x
_atom_site_fract_y
_atom_site_fract_z
Na1 Na 0.0250 0.4816 0.0000
Na2 Na 0.2865 0.1812 0.4905
Ni1 Ni 0.0000 0.0000 0.0596
Ni2 Ni 0.3333 0.6667 0.5816
Ni3 Ni 0.6667 0.3333 0.6454
Cl1 Cl 0.0000 0.0000 0.7130
Cl2 Cl 0.0875 0.2274 0.2154
Cl3 Cl 0.2051 0.7661 0.7348
Cl4 Cl 0.3333 0.6667 0.2360
Cl5 Cl 0.4501 0.2397 0.8593
Cl6 Cl 0.5408 0.1141 0.4380

***

# NaTl2CdBr6, optimized geometry, DFT PBE
# * raw formation energy: -868 meV per atom
data_NaTl2CdBr6
_cell_length_a 7.6034
_cell_length_b 7.6034
_cell_length_c 20.7180
_cell_angle_alpha 90.00
_cell_angle_beta 90.00
_cell_angle_gamma 120.00
_space_group_name_H-M_alt 'R 3'
_space_group_IT_number 146
_space_group_name_Hall 'R 3'
loop_
_atom_site_label
_atom_site_type_symbol
_atom_site_fract_x
_atom_site_fract_y
_atom_site_fract_z
Na1 Na 0.0000 0.0000 0.0000
Tl1 Tl 0.0000 0.0000 0.2858
Tl2 Tl 0.0000 0.0000 0.8020
Cd1 Cd 0.0000 0.0000 0.4889
Br1 Br 0.0001 0.5978 0.2318
Br2 Br 0.0409 0.3593 0.0721

***

# Mg3Ag2Rh, optimized geometry, DFT PBE
# * energy above the lowest structure with this stoichiometry: 11.1 meV/atom
data_Mg3Ag2Rh
_cell_length_a 4.5720
_cell_length_b 4.5720
_cell_length_c 11.3808
_cell_angle_alpha 90.00
_cell_angle_beta 90.00
_cell_angle_gamma 120.00
_space_group_name_H-M_alt 'P -3 m 1'
_space_group_IT_number 164
_space_group_name_Hall '-P 3 2"'
loop_
_atom_site_label
_atom_site_type_symbol
_atom_site_fract_x
_atom_site_fract_y
_atom_site_fract_z
Mg1 Mg 0.0000 0.0000 0.2411
Mg2 Mg 0.3333 0.6667 0.4087
Mg3 Mg 0.3333 0.6667 0.9181
Ag1 Ag 0.0000 0.0000 0.0000
Ag2 Ag 0.0000 0.0000 0.5000
Ag3 Ag 0.3333 0.6667 0.6733
Rh1 Rh 0.3333 0.6667 0.1635

***

# CaPSe, optimized geometry, DFT PBE
# * raw formation energy: -1008 meV per atom
data_CaPSe
_cell_length_a 4.402
_cell_length_b 5.558
_cell_length_c 7.017
_cell_angle_alpha 90.67
_cell_angle_beta 106.72
_cell_angle_gamma 112.53
_space_group_name_H-M_alt 'P 1'
_space_group_IT_number 1
_space_group_name_Hall 'P 1'
loop_
_atom_site_label
_atom_site_type_symbol
_atom_site_fract_x
_atom_site_fract_y
_atom_site_fract_z
Ca1 Ca 0.000 0.000 0.000
Ca2 Ca 0.478 0.400 0.558
P1 P 0.331 0.690 0.214
P2 P 0.374 0.553 0.941
Se1 Se 0.199 0.804 0.682
Se2 Se 0.729 0.146 0.295

***

# TaMnCo2, optimized geometry, DFT PBE
# * energy above the lowest structure with this stoichiometry: 415.4 meV/atom
data_TaMnCo2
_cell_length_a 2.7511
_cell_length_b 2.7511
_cell_length_c 24.9853
_cell_angle_alpha 90.00
_cell_angle_beta 90.00
_cell_angle_gamma 120.00
_space_group_name_H-M_alt 'R 3 m'
_space_group_IT_number 160
_space_group_name_Hall 'R 3 -2"'
loop_
_atom_site_label
_atom_site_type_symbol
_atom_site_fract_x
_atom_site_fract_y
_atom_site_fract_z
Ta1 Ta 0.0000 0.0000 0.0000
Mn1 Mn 0.0000 0.0000 0.7588
Co1 Co 0.0000 0.0000 0.2453
Co2 Co 0.0000 0.0000 0.5039

***

# HfMn2Ni, optimized geometry, DFT PBE
# * energy above the lowest structure with this stoichiometry: 309.5 meV/atom
data_HfMn2Ni
_cell_length_a 3.613
_cell_length_b 3.613
_cell_length_c 18.037
_cell_angle_alpha 90.00
_cell_angle_beta 90.00
_cell_angle_gamma 90.00
_space_group_name_H-M_alt 'I -4 2 d'
_space_group_IT_number 122
_space_group_name_Hall 'I -4 2bw'
loop_
_atom_site_label
_atom_site_type_symbol
_atom_site_fract_x
_atom_site_fract_y
_atom_site_fract_z
Hf1 Hf 0.000 0.000 0.000
Mn1 Mn 0.178 0.250 0.625
Ni1 Ni 0.000 0.000 0.500

***

# Sm12Sb6Os, optimized geometry, DFT PBE
# * raw formation energy: -645 meV per atom
data_Sm12Sb6Os
_cell_length_a 13.3156
_cell_length_b 13.3156
_cell_length_c 12.4162
_cell_angle_alpha 90.00
_cell_angle_beta 90.00
_cell_angle_gamma 120.00
_space_group_name_H-M_alt 'R -3'
_space_group_IT_number 148
_space_group_name_Hall '-R 3'
loop_
_atom_site_label
_atom_site_type_symbol
_atom_site_fract_x
_atom_site_fract_y
_atom_site_fract_z
Sm1 Sm 0.0302 0.8354 0.3894
Sm2 Sm 0.0629 0.8679 0.8801
Sb1 Sb 0.0461 0.7626 0.6401
Os1 Os 0.0000 0.0000 0.0000

***

# BaCu2Ir3S8, optimized geometry, DFT PBE
# * raw formation energy: -398 meV per atom
data_BaCu2Ir3S8
_cell_length_a 7.2054
_cell_length_b 7.2054
_cell_length_c 22.7737
_cell_angle_alpha 90.00
_cell_angle_beta 90.00
_cell_angle_gamma 120.00
_space_group_name_H-M_alt 'R 3 m'
_space_group_IT_number 160
_space_group_name_Hall 'R 3 -2"'
loop_
_atom_site_label
_atom_site_type_symbol
_atom_site_fract_x
_atom_site_fract_y
_atom_site_fract_z
Ba1 Ba 0.0000 0.0000 0.0000
Cu1 Cu 0.0000 0.0000 0.2888
Cu2 Cu 0.0000 0.0000 0.7939
Ir1 Ir 0.1689 0.3379 0.1840
S1 S 0.0000 0.0000 0.1330
S2 S 0.0000 0.0000 0.5709
S3 S 0.0230 0.5115 0.1278
S4 S 0.1767 0.3534 0.9073

***

| no. | density (g cm⁻³) | magnetic moment (Bohr magnetons per cell) | volume (Å³/atom) |
| --- | --- | --- | --- |
| 1 | 7.256 | 0.00 | 34.6 |
| 2 | 5.833 | 5.33 | 21.2 |
| 3 | 9.874 | 0.00 | 18.4 |
| 4 | 8.887 | 0.00 | 13.5 |
| 5 | 2.428 | 5.79 | 24.1 |
| 6 | 4.916 | 0.00 | 34.6 |
| 7 | 6.312 | 0.00 | 17.2 |
| 8 | 3.312 | 0.00 | 25.1 |
| 9 | 10.761 | 17.42 | 13.6 |
| 10 | 9.790 | 13.02 | 14.7 |
| 11 | 7.121 | 0.00 | 33.4 |
| 12 | 5.340 | 0.00 | 24.4 |